Below is an optimized crystal structure of Pm5Zn2Sn, with properties calculated at the PBE-GGA level.

Cell lengths 9.326, 9.326, 9.326 Å; angles 130.54, 130.54, 72.54 degrees
Positions (direct):
1 Pm 0.000 0.000 0.000
2 Pm 0.014 0.514 0.825
3 Pm 0.188 0.014 0.500
4 Pm 0.312 0.812 0.825
5 Pm 0.486 0.312 0.500
6 Pm 0.500 0.500 0.000
7 Pm 0.514 0.688 0.500
8 Pm 0.688 0.188 0.175
9 Pm 0.812 0.986 0.500
10 Pm 0.986 0.486 0.175
11 Zn 0.122 0.378 0.500
12 Zn 0.378 0.878 0.255
13 Zn 0.622 0.122 0.745
14 Zn 0.878 0.622 0.500
15 Sn 0.250 0.250 0.000
16 Sn 0.750 0.750 0.000

Calculated values
Calculated total energy in hartree per atom: -0.152
Symmetry: I4/mcm (140)
Energy relative to the elements in eV per atom: -0.356


Below is an optimized crystal structure of ReTcHgPb2, with properties calculated at the PBE-GGA level.

Cell lengths 5.504, 5.504, 5.238 Å; angles 90.00, 90.00, 90.00 degrees
Positions (direct):
1 Re 0.000 0.000 0.000
2 Tc 0.500 0.500 0.000
3 Hg 0.500 0.500 0.500
4 Pb 0.000 0.500 0.500
5 Pb 0.500 0.000 0.500

Calculated values
Calculated total energy in hartree per atom: -0.142
Symmetry: P4/mmm (123)
Energy relative to the elements in eV per atom: 2.255


Below is an optimized crystal structure of CeTl2InI6, with properties calculated at the PBE-GGA level.

Cell lengths 8.287, 9.185, 14.151 Å; angles 90.00, 121.48, 90.00 degrees
Positions (direct):
1 Ce 0.000 0.000 0.000
2 Ce 0.000 0.500 0.500
3 Tl 0.311 0.098 0.773
4 Tl 0.311 0.402 0.273
5 Tl 0.689 0.598 0.727
6 Tl 0.689 0.902 0.227
7 In 0.500 0.000 0.500
8 In 0.500 0.500 0.000
9 I 0.090 0.058 0.242
10 I 0.090 0.442 0.742
11 I 0.240 0.709 0.080
12 I 0.240 0.791 0.580
13 I 0.368 0.171 0.054
14 I 0.368 0.329 0.554
15 I 0.632 0.671 0.446
16 I 0.632 0.829 0.946
17 I 0.760 0.209 0.420
18 I 0.760 0.291 0.920
19 I 0.910 0.558 0.258
20 I 0.910 0.942 0.758

Calculated values
Calculated total energy in hartree per atom: -0.116
Symmetry: P2_1/c (14)
ΔE_f (raw) in meV/atom: -897


Below is an optimized crystal structure of Cd3Rh, with properties calculated at the PBE-GGA level.

Cell lengths 3.154, 3.154, 7.871 Å; angles 90.00, 90.00, 90.00 degrees
Positions (direct):
1 Cd 0.000 0.000 0.000
2 Cd 0.500 0.500 0.285
3 Cd 0.500 0.500 0.715
4 Rh 0.000 0.000 0.500

Calculated values
Calculated total energy in hartree per atom: -0.095
Symmetry: P4/mmm (123)
Energy relative to the elements in eV per atom: -0.055


calculated total energy of number 4 (Cd3Rh)?
-0.095 hartree per atom